(1)
Y5Ho8Pu | PBE-GGA | optimized geometry

Lattice parameters (Å, degrees): 8.360 8.360 8.360 108.00 112.46 108.00
Last column: magnetic moment on the atom in μB.
Fractional positions:
Y 0.791 0.750 0.705  0.10
Ho 0.108 0.702 0.490  0.04
Y 0.295 0.085 0.045  0.10
Ho 0.788 0.298 0.406  0.04
Pu 0.250 0.500 0.750  -5.69
Y 0.955 0.250 0.040  0.10
Ho 0.038 0.099 0.649  -0.11
Ho 0.510 0.618 0.212  0.04
Y 0.500 0.000 0.500  0.16
Ho 0.550 0.901 0.939  -0.11
Ho 0.351 0.389 0.450  -0.11
Ho 0.594 0.382 0.892  0.04
Y 0.960 0.915 0.209  0.10
Ho 0.061 0.611 0.962  -0.11

Summary:
formation enthalpy at 0 K: 293 meV/atom
space group: I-4

---

(2)
Sn2PO2 | PBE-GGA | optimized geometry

Lattice parameters (Å, degrees): 7.793 7.793 3.230 90.00 90.00 90.00
Fractional positions:
Sn 0.238 0.738 0.000
Sn 0.738 0.762 0.000
P 0.000 0.000 0.000
P 0.500 0.500 0.000
O 0.874 0.374 0.500
Sn 0.262 0.238 0.000
O 0.374 0.126 0.500
Sn 0.762 0.262 0.000
O 0.626 0.874 0.500
O 0.126 0.626 0.500

Summary:
space group: P4/mbm
energy relative to the lowest polymorph listed for this composition: 189 meV/atom

---

(3)
Th6P2PdC3 | PBE-GGA | optimized geometry

Lattice parameters (Å, degrees): 3.896 8.129 8.972 105.68 102.54 90.00
Fractional positions:
Th 0.990 0.274 0.981
Th 0.337 0.403 0.674
Pd 0.500 0.000 0.000
P 0.164 0.329 0.328
Th 0.663 0.597 0.326
Th 0.325 0.934 0.649
Th 0.010 0.726 0.019
C 0.169 0.834 0.339
Th 0.675 0.066 0.351
P 0.836 0.671 0.672
C 0.831 0.166 0.661
C 0.500 0.500 0.000

Summary:
formation enthalpy at 0 K: -750 meV/atom
space group: C2/m

---

(4)
CsLiHf3 | PBE-GGA | optimized geometry

Lattice parameters (Å, degrees): 5.323 5.323 5.323 90.00 90.00 90.00
Fractional positions:
Hf 0.000 0.000 0.500
Li 0.500 0.500 0.500
Cs 0.000 0.000 0.000
Hf 0.500 0.000 0.000
Hf 0.000 0.500 0.000

Summary:
formation enthalpy at 0 K: 2226 meV/atom
space group: Pm-3m
energy relative to the lowest polymorph listed for this composition: 863 meV/atom

---

(5)
TbVMo | PBE-GGA | optimized geometry

Lattice parameters (Å, degrees): 3.198 3.198 13.549 90.00 90.00 120.00
Fractional positions:
Mo 0.667 0.333 0.305
Tb 0.667 0.333 0.875
Mo 0.333 0.667 0.695
V 0.667 0.333 0.571
Tb 0.333 0.667 0.125
V 0.333 0.667 0.429

Summary:
formation enthalpy at 0 K: 425 meV/atom
space group: P-3m1

---

(6)
TmGa2Cu5 | PBE-GGA | optimized geometry

Lattice parameters (Å, degrees): 3.540 6.310 6.310 67.15 73.71 73.71
Fractional positions:
Cu 0.371 0.437 0.821
Ga 0.746 0.754 0.754
Ga 0.254 0.246 0.246
Cu 0.000 0.500 0.500
Cu 0.371 0.821 0.437
Cu 0.629 0.563 0.179
Cu 0.629 0.179 0.563
Tm 0.000 0.000 0.000

Summary:
formation enthalpy at 0 K: -201 meV/atom
space group: Immm

---

(7)
MgIn2 | PBE-GGA | optimized geometry

Lattice parameters (Å, degrees): 6.973 6.973 6.973 152.09 152.09 39.88
Fractional positions:
In 0.672 0.672 0.000
In 0.995 0.995 0.000
Mg 0.333 0.333 0.000

Summary:
formation enthalpy at 0 K: -44 meV/atom
space group: I4/mmm

---

(8)
PrMg2InAg4 | PBE-GGA | optimized geometry

Lattice parameters (Å, degrees): 4.740 4.740 9.429 75.44 75.44 60.00
Fractional positions:
Mg 0.756 0.756 0.732
Ag 0.606 0.606 0.183
Ag 0.394 0.394 0.817
Ag 0.875 0.875 0.374
In 0.500 0.500 0.500
Pr 0.000 0.000 0.000
Mg 0.244 0.244 0.268
Ag 0.125 0.125 0.626

Summary:
formation enthalpy at 0 K: -182 meV/atom
space group: R-3m

---

(9)
KBeCu2 | PBE-GGA | optimized geometry

Lattice parameters (Å, degrees): 4.949 4.949 4.949 129.27 129.27 74.58
Fractional positions:
Be 0.750 0.250 0.500
Cu 0.000 0.000 0.000
K 0.500 0.500 0.000
Cu 0.250 0.750 0.500

Summary:
formation enthalpy at 0 K: 946 meV/atom
space group: I-4m2

---

(10)
LaPRu2 | PBE-GGA | optimized geometry

Lattice parameters (Å, degrees): 3.019 3.019 7.321 90.00 90.00 90.00
Fractional positions:
P 0.500 0.500 0.500
La 0.500 0.500 0.000
Ru 0.000 0.000 0.683
Ru 0.000 0.000 0.317

Summary:
formation enthalpy at 0 K: -127 meV/atom
space group: P4/mmm

---

(11)
Ac2LaF | PBE-GGA | optimized geometry

Lattice parameters (Å, degrees): 3.950 3.950 10.652 79.31 79.31 60.00
Fractional positions:
Ac 0.116 0.116 0.652
F 0.500 0.500 0.500
Ac 0.884 0.884 0.348
La 0.000 0.000 0.000

Summary:
space group: R-3m
raw total energy: -4.669 eV per atom

---

(12)
ZrCd2Te | PBE-GGA | optimized geometry

Lattice parameters (Å, degrees): 3.755 4.698 5.295 90.00 90.00 90.00
Fractional positions:
Cd 0.000 0.000 0.000
Te 0.500 0.000 0.500
Cd 0.500 0.500 0.000
Zr 0.000 0.500 0.500

Summary:
space group: Pmmm
raw total energy: -3.482 eV per atom